Record 1
TmNbZn after structural relaxation. Source: OQMD, functional PBE.

Properties
V (Å³/atom): 24.76
Spin magnetization (μB per formula unit): 2.68
Total DFT energy (no corrections) (eV/atom): -4.20
Formation energy from the elements (meV/atom): 1079

Cell lengths 4.7181, 4.7181, 4.7181 Å; angles 60.00, 60.00, 60.00 degrees
Fractional coordinates of all 3 atoms:
Zn: 0.7500 0.7500 0.7500
Tm: 0.0000 0.0000 0.0000
Nb: 0.2500 0.2500 0.2500

***

Record 2
UNb after structural relaxation. Source: OQMD, functional PBE.

Properties
V (Å³/atom): 20.27
Spin magnetization (μB per formula unit): 0.90
Total DFT energy (no corrections) (eV/atom): -10.29
Formation energy from the elements (meV/atom): 407

Cell lengths 2.9353, 2.9352, 5.4346 Å; angles 90.00, 90.00, 120.00 degrees
Fractional coordinates of all 2 atoms:
Nb: 0.6667 0.3333 0.7500
U: 0.3333 0.6667 0.2500

***

Record 3
UNb after structural relaxation. Source: OQMD, functional PBE.

Properties
V (Å³/atom): 25.25
Spin magnetization (μB per formula unit): 0.01
Total DFT energy (no corrections) (eV/atom): -8.95
Formation energy from the elements (meV/atom): 1743

Cell lengths 4.1490, 4.1490, 4.1490 Å; angles 60.00, 60.00, 60.00 degrees
Fractional coordinates of all 2 atoms:
Nb: 0.0000 0.0000 0.0000
U: 0.2500 0.2500 0.2500

***

Record 4
UNb after structural relaxation. Source: OQMD, functional PBE.

Properties
V (Å³/atom): 21.32
Spin magnetization (μB per formula unit): 0.01
Total DFT energy (no corrections) (eV/atom): -9.68
Formation energy from the elements (meV/atom): 1015

Cell lengths 3.9213, 3.9213, 3.9213 Å; angles 60.00, 60.00, 60.00 degrees
Fractional coordinates of all 2 atoms:
U: 0.5000 0.5000 0.5000
Nb: 0.0000 0.0000 0.0000

***

Record 5
U2Nb after structural relaxation. Source: OQMD, functional PBE.

Properties
V (Å³/atom): 63.30
Spin magnetization (μB per formula unit): 5.00
Total DFT energy (no corrections) (eV/atom): -8.23
Formation energy from the elements (meV/atom): 2662

Cell lengths 8.1288, 8.1288, 8.1288 Å; angles 60.00, 60.00, 60.00 degrees
Fractional coordinates of all 6 atoms:
Nb: 0.2500 0.2500 0.2500
Nb: 0.5000 0.5000 0.5000
U: 0.3750 0.3750 0.8750
U: 0.3750 0.3750 0.3750
U: 0.8750 0.3750 0.3750
U: 0.3750 0.8750 0.3750

***

Record 6
YUNb after structural relaxation. Source: OQMD, functional PBE.

Properties
V (Å³/atom): 26.46
Spin magnetization (μB per formula unit): 1.45
Total DFT energy (no corrections) (eV/atom): -8.29
Formation energy from the elements (meV/atom): 993

Cell lengths 4.8237, 4.8237, 4.8237 Å; angles 60.00, 60.00, 60.00 degrees
Fractional coordinates of all 3 atoms:
Y: 0.7500 0.7500 0.7500
Nb: 0.0000 0.0000 0.0000
U: 0.2500 0.2500 0.2500

***

Record 7
ZrUNb after structural relaxation. Source: OQMD, functional PBE.

Properties
V (Å³/atom): 24.14
Spin magnetization (μB per formula unit): 1.15
Total DFT energy (no corrections) (eV/atom): -9.21
Formation energy from the elements (meV/atom): 764

Cell lengths 4.6786, 4.6786, 4.6786 Å; angles 60.00, 60.00, 60.00 degrees
Fractional coordinates of all 3 atoms:
Zr: 0.7500 0.7500 0.7500
U: 0.2500 0.2500 0.2500
Nb: 0.0000 0.0000 0.0000

***

Record 8
ZrUNb after structural relaxation. Source: OQMD, functional PBE.

Properties
V (Å³/atom): 23.71
Spin magnetization (μB per formula unit): 2.23
Total DFT energy (no corrections) (eV/atom): -8.79
Formation energy from the elements (meV/atom): 1186

Cell lengths 4.6505, 4.6505, 4.6505 Å; angles 60.00, 60.00, 60.00 degrees
Fractional coordinates of all 3 atoms:
U: 0.0000 0.0000 0.0000
Zr: 0.7500 0.7500 0.7500
Nb: 0.2500 0.2500 0.2500

***

Record 9
NbW after structural relaxation. Source: OQMD, functional PBE.

Properties
V (Å³/atom): 16.98
Spin magnetization (μB per formula unit): 0.00
Total DFT energy (no corrections) (eV/atom): -11.58
Formation energy from the elements (meV/atom): -57

Cell lengths 4.5801, 4.5801, 4.5801 Å; angles 60.00, 60.00, 60.00 degrees
Fractional coordinates of all 4 atoms:
Nb: 0.0000 0.0000 0.0000
Nb: 0.2500 0.2500 0.2500
W: 0.5000 0.5000 0.5000
W: 0.7500 0.7500 0.7500

***

Record 10
NbW after structural relaxation. Source: OQMD, functional PBE.

Properties
V (Å³/atom): 25.77
Spin magnetization (μB per formula unit): 0.01
Total DFT energy (no corrections) (eV/atom): -8.87
Formation energy from the elements (meV/atom): 2658

Cell lengths 4.1773, 4.1773, 4.1773 Å; angles 60.00, 60.00, 60.00 degrees
Fractional coordinates of all 2 atoms:
W: 0.2500 0.2500 0.2500
Nb: 0.0000 0.0000 0.0000

***

Record 11
Nb2W after structural relaxation. Source: OQMD, functional PBE.

Properties
V (Å³/atom): 18.05
Spin magnetization (μB per formula unit): 0.00
Total DFT energy (no corrections) (eV/atom): -10.60
Formation energy from the elements (meV/atom): 454

Cell lengths 5.3971, 5.3971, 8.5857 Å; angles 90.00, 90.00, 120.00 degrees
Fractional coordinates of all 12 atoms:
Nb: 0.6574 0.8287 0.7500
Nb: 0.0000 0.0000 0.5000
Nb: 0.8287 0.6574 0.2500
Nb: 0.0000 0.0000 0.0000
Nb: 0.3426 0.1713 0.2500
Nb: 0.1713 0.8287 0.7500
Nb: 0.8287 0.1713 0.2500
Nb: 0.1713 0.3426 0.7500
W: 0.6667 0.3333 0.5551
W: 0.6667 0.3333 0.9449
W: 0.3333 0.6667 0.0551
W: 0.3333 0.6667 0.4449

***

Record 12
Nb2W after structural relaxation. Source: OQMD, functional PBE.

Properties
V (Å³/atom): 18.05
Spin magnetization (μB per formula unit): 0.00
Total DFT energy (no corrections) (eV/atom): -10.61
Formation energy from the elements (meV/atom): 440

Cell lengths 5.3606, 5.3606, 17.4063 Å; angles 90.00, 90.00, 120.00 degrees
Fractional coordinates of all 24 atoms:
W: 0.0000 0.0000 0.0953
W: 0.6667 0.3333 0.3440
W: 0.0000 0.0000 0.9047
W: 0.6667 0.3333 0.1560
W: 0.0000 0.0000 0.5953
W: 0.3333 0.6667 0.6560
W: 0.0000 0.0000 0.4047
W: 0.3333 0.6667 0.8440
Nb: 0.6667 0.3333 0.6236
Nb: 0.3254 0.1627 0.7500
Nb: 0.1627 0.3254 0.2500
Nb: 0.5000 0.5000 0.0000
Nb: 0.1627 0.8373 0.2500
Nb: 0.5000 0.0000 0.5000
Nb: 0.3333 0.6667 0.3764
Nb: 0.8373 0.6746 0.7500
Nb: 0.6746 0.8373 0.2500
Nb: 0.0000 0.5000 0.5000
Nb: 0.0000 0.5000 0.0000
Nb: 0.5000 0.0000 0.0000
Nb: 0.5000 0.5000 0.5000
Nb: 0.3333 0.6667 0.1236
Nb: 0.8373 0.1627 0.7500
Nb: 0.6667 0.3333 0.8764

***

Which of these has the lowest formation energy from the elements? number 9

***

Which value of V does entry 9 give? 16.98 Å³/atom

***

V of number 5 (U2Nb)? 63.30 Å³/atom